Entry 1:
Crystalline CaSc2Re at its relaxed geometry. Source: the Alexandria database, functional PBE-GGA.

The calculation puts the magnetic moment at 0.01 μB per cell. The value obtained for the energy of formation from the pure elements is 0.442 eV per atom.

The space group is F-43m (No. 216) and the conventional cell measures 6.981, 6.981 and 6.981 Å, with angles of 90.00, 90.00 and 90.00 degrees. The distinct sites, in fractional coordinates, are Ca at (0.000, 0.000, 0.000), Sc at (0.000, 0.000, 0.500), Sc at (0.250, 0.250, 0.250) and Re at (0.250, 0.250, 0.750).



Entry 2:
Crystalline CaSc2Re at its relaxed geometry. Source: the Alexandria database, functional PBE-GGA.

The calculation puts the magnetic moment at 0.00 μB per cell. The value obtained for the energy of formation from the pure elements is 0.241 eV per atom.

The space group is R-3m (No. 166, hexagonal axes) and the conventional cell measures 3.3103, 3.3103 and 30.5098 Å, with angles of 90.00, 90.00 and 120.00 degrees. The distinct sites, in fractional coordinates, are Ca at (0.0000, 0.0000, 0.0000), Sc at (0.0000, 0.0000, 0.2304) and Re at (0.0000, 0.0000, 0.5000).



Entry 3:
Crystalline CaSc2Re at its relaxed geometry. Source: the Alexandria database, functional PBE-GGA.

The calculation puts the magnetic moment at 0.00 μB per cell. The value obtained for the energy of formation from the pure elements is 0.267 eV per atom.

The space group is C2/m (No. 12) and the conventional cell measures 9.099, 3.194 and 6.396 Å, with angles of 90.00, 98.23 and 90.00 degrees. The distinct sites, in fractional coordinates, are Ca at (0.000, 0.000, 0.000), Sc at (0.223, 0.000, 0.691) and Re at (0.000, 0.500, 0.500).



Number 1: mass density 6.172 g cm⁻³. Number 2: mass density 5.440 g cm⁻³. Number 3: mass density 5.708 g cm⁻³.